1.
Computed, not measured: a geometry-optimized HgBNO2 structure at the PBE-GGA level of DFT.

energy	-0.3407	Ry per atom
formation energy without anion corrections	408	meV per atom

Cell: 4.2363 4.2363 2.8294 Å, 90.00 90.00 90.00°
With the nearest neighbours (Å) after each atom.
Sites, in units of the cell vectors:
Hg (0.5000, 0.5000, 0.5000)  8 O 2.55, 2 Hg 2.83
B (0.0000, 0.0000, 0.0000)  2 N 1.41
O (0.0000, 0.5000, 0.0000)  2 B 2.12
O (0.5000, 0.0000, 0.0000)  2 B 2.12
N (0.0000, 0.0000, 0.5000)  2 B 1.41

2.
Computed, not measured: a geometry-optimized CaMg4Hg structure at the PBE-GGA level of DFT.

energy	-0.1191	Ry per atom
calculated formation energy	-0.173	eV/atom

Cell: 4.4316 7.8600 8.8022 Å, 90.00 90.00 90.00°
With the nearest neighbours (Å) after each atom.
Sites, in units of the cell vectors:
Ca (0.0000, 0.3873, 0.2500)  1 Hg 3.09, 2 Mg 3.45
Ca (0.0000, 0.6127, 0.7500)  1 Hg 3.09, 2 Mg 3.45
Mg (0.5000, 0.0501, 0.2500)  2 Hg 3.07, 8 Mg 3.15-3.35
Mg (0.0000, 0.0000, 0.5000)  2 Hg 2.80
Mg (0.0000, 0.0000, 0.0000)  2 Hg 2.80
Mg (0.5000, 0.3066, 0.9465)  2 Hg 2.89, 1 Mg 3.18
Mg (0.5000, 0.6934, 0.0535)  2 Hg 2.89, 1 Mg 3.18
Mg (0.5000, 0.3066, 0.5535)  2 Hg 2.89, 1 Mg 3.18
Mg (0.5000, 0.6934, 0.4465)  2 Hg 2.89, 1 Mg 3.18
Mg (0.5000, 0.9499, 0.7500)  2 Hg 3.07, 8 Mg 3.15-3.35
Hg (0.0000, 0.7807, 0.2500)  8 Mg 2.80-3.07, 1 Ca 3.09
Hg (0.0000, 0.2193, 0.7500)  8 Mg 2.80-3.07, 1 Ca 3.09

3.
Computed, not measured: a geometry-optimized KW2Se structure at the PBE-GGA level of DFT.

energy	-0.4557	Ry per atom
formation energy without anion corrections	1421	meV per atom

Cell: 5.9767 5.9767 5.9767 Å, 141.76 141.76 55.19°
With the nearest neighbours (Å) after each atom.
Sites, in units of the cell vectors:
Se (0.7500, 0.2500, 0.5000)  4 K 2.77
K (0.2500, 0.7500, 0.5000)  4 Se 2.77
W (0.5000, 0.5000, 0.0000)  4 W 2.77
W (0.0000, 0.0000, 0.0000)  4 W 2.77

4.
Computed, not measured: a geometry-optimized BaScBS4 structure at the PBE-GGA level of DFT.

energy	-0.4348	Ry per atom
formation energy without anion corrections	-1424	meV per atom

Cell: 5.9947 6.3966 8.2271 Å, 90.00 108.21 90.00°
With the nearest neighbours (Å) after each atom.
Sites, in units of the cell vectors:
S (0.4199, 0.7500, 0.5588)  1 B 1.91
S (0.9928, 0.4896, 0.7087)  1 B 1.94
S (0.4009, 0.7500, 0.1698)  1 B 1.96
S (0.0072, 0.9896, 0.2913)  1 B 1.94
S (0.9928, 0.0104, 0.7087)  1 B 1.94
S (0.0072, 0.5104, 0.2913)  1 B 1.94
S (0.5991, 0.2500, 0.8302)  1 B 1.96
S (0.5801, 0.2500, 0.4412)  1 B 1.91
B (0.7847, 0.2500, 0.6718)  4 S 1.91-1.96
B (0.2153, 0.7500, 0.3282)  4 S 1.91-1.96
Ba (0.2711, 0.2500, 0.0702)  8 S 3.04-3.33
Ba (0.7289, 0.7500, 0.9298)  8 S 3.04-3.33
Sc (0.7708, 0.7500, 0.4485)  6 S 2.54-2.71
Sc (0.2292, 0.2500, 0.5515)  6 S 2.54-2.71

Number 1: total magnetization 1.8 μB/f.u.. Number 2: total magnetization 0.0 μB/f.u.. Number 3: total magnetization 0.0 μB/f.u.. Number 4: total magnetization 0.0 μB/f.u..